## Nb2PdS2 (PBE)

Data for a geometry-optimized Nb2PdS2 structure.

Calculated values
Uncorrected formation energy = -0.47 eV per atom
E = -35.930 eV per formula unit
Offset from the most stable computed form = 0.0468 eV/atom

Lattice parameters (Å, degrees): 7.171 7.171 3.109 90.00 90.00 90.00
Atoms (fractional coordinates):
Nb  0.852  0.648  0.000
Nb  0.648  0.148  0.000
Nb  0.148  0.352  0.000
Nb  0.352  0.852  0.000
Pd  0.000  0.000  0.000
S  0.858  0.358  0.500
S  0.142  0.642  0.500
Pd  0.500  0.500  0.000
S  0.642  0.858  0.500
S  0.358  0.142  0.500

---

## NbPdS2 (PBE)

Data for a geometry-optimized NbPdS2 structure.

Calculated values
Uncorrected formation energy = -0.47 eV per atom
E = -25.387 eV per formula unit

Lattice parameters (Å, degrees): 5.615 5.615 6.641 64.99 64.99 90.00
Last column: magnetic moment on the atom in μB.
Atoms (fractional coordinates):
S  0.619  0.125  0.250  -0.03
S  0.875  0.869  0.750  -0.03
S  0.375  0.381  0.750  -0.03
Pd  0.000  0.000  0.000  -0.04
Nb  0.500  0.500  0.000  0.76
Pd  0.750  0.250  0.500  -0.04
S  0.131  0.625  0.250  -0.03
Nb  0.250  0.750  0.500  0.75

---

## Nb2PdS2 (PBE)

Data for a geometry-optimized Nb2PdS2 structure.

Calculated values
Uncorrected formation energy = -0.24 eV per atom
E = -34.795 eV per formula unit
Offset from the most stable computed form = 0.2738 eV/atom

Lattice parameters (Å, degrees): 4.203 4.203 5.989 69.46 69.46 90.00
Atoms (fractional coordinates):
Nb  0.375  0.375  0.249
S  0.250  0.750  0.500
Pd  0.000  0.000  0.000
Nb  0.625  0.625  0.751
S  0.750  0.250  0.500

---

## NbPdS2 (PBE)

Data for a geometry-optimized NbPdS2 structure.

Calculated values
Uncorrected formation energy = -0.66 eV per atom
E = -26.162 eV per formula unit

Lattice parameters (Å, degrees): 3.268 5.763 8.015 104.03 101.75 90.03
Atoms (fractional coordinates):
Pd  0.043  0.919  0.071
Nb  0.042  0.419  0.571
Pd  0.043  0.419  0.071
Nb  0.542  0.919  0.571
S  0.942  0.018  0.359
S  0.431  0.518  0.359
S  0.654  0.320  0.783
S  0.143  0.820  0.783

---

## NbPdS2 (PBE)

Data for a geometry-optimized NbPdS2 structure.

Calculated values
Uncorrected formation energy = -0.72 eV per atom
E = -26.381 eV per formula unit

Lattice parameters (Å, degrees): 8.067 8.067 8.067 23.32 23.32 23.32
Atoms (fractional coordinates):
Nb  0.500  0.500  0.500
S  0.098  0.098  0.098
S  0.902  0.902  0.902
Pd  0.000  0.000  0.000

---

## Nb2PdS2 (PBE)

Data for a geometry-optimized Nb2PdS2 structure.

Calculated values
Uncorrected formation energy = -0.52 eV per atom
E = -36.163 eV per formula unit
Offset from the most stable computed form = 0.0000 eV/atom

Lattice parameters (Å, degrees): 3.112 3.112 9.615 99.31 99.31 90.00
Atoms (fractional coordinates):
Pd  0.000  0.000  0.000
Nb  0.690  0.690  0.379
S  0.876  0.876  0.752
S  0.124  0.124  0.248
Nb  0.310  0.310  0.621

---

## Nb3PdS6 (PBE)

Data for a geometry-optimized Nb3PdS6 structure.

Calculated values
Uncorrected formation energy = -0.71 eV per atom
E = -67.314 eV per formula unit

Lattice parameters (Å, degrees): 6.053 7.814 7.814 102.86 90.00 90.00
Atoms (fractional coordinates):
S  0.155  0.026  0.974
S  0.160  0.698  0.642
Pd  0.575  0.782  0.218
S  0.160  0.358  0.302
S  0.154  0.760  0.240
Nb  0.368  0.405  0.595
S  0.660  0.642  0.698
Nb  0.461  0.267  0.042
Nb  0.961  0.042  0.267
S  0.245  0.485  0.906
Nb  0.868  0.595  0.405
S  0.654  0.240  0.760
S  0.655  0.974  0.026
S  0.245  0.094  0.515
S  0.745  0.906  0.485
Nb  0.461  0.958  0.733
S  0.745  0.515  0.094
Nb  0.961  0.733  0.958
S  0.660  0.302  0.358
Pd  0.075  0.218  0.782

---

## NbPdS2 (PBE)

Data for a geometry-optimized NbPdS2 structure.

Calculated values
Uncorrected formation energy = -0.32 eV per atom
E = -24.799 eV per formula unit

Lattice parameters (Å, degrees): 4.421 4.421 4.421 60.00 60.00 60.00
Last column: magnetic moment on the atom in μB.
Atoms (fractional coordinates):
Pd  0.500  0.500  0.500  0.05
S  0.750  0.750  0.750  0.01
Nb  0.000  0.000  0.000  0.64
S  0.250  0.250  0.250  0.01

---

## NbPd2S2 (PBE)

Data for a geometry-optimized NbPd2S2 structure.

Calculated values
Uncorrected formation energy = -0.28 eV per atom
E = -30.112 eV per formula unit

Lattice parameters (Å, degrees): 6.762 6.762 3.454 90.00 90.00 90.00
Atoms (fractional coordinates):
S  0.831  0.669  0.000
Pd  0.648  0.852  0.500
S  0.669  0.169  0.000
S  0.169  0.331  0.000
S  0.331  0.831  0.000
Pd  0.852  0.352  0.500
Nb  0.000  0.000  0.000
Nb  0.500  0.500  0.000
Pd  0.148  0.648  0.500
Pd  0.352  0.148  0.500

---

## Nb5PdS3 (PBE)

Data for a geometry-optimized Nb5PdS3 structure.

Calculated values
Uncorrected formation energy = -0.26 eV per atom
E = -70.292 eV per formula unit

Lattice parameters (Å, degrees): 6.727 6.727 8.650 70.14 70.14 70.05
Atoms (fractional coordinates):
Nb  0.356  0.916  0.285
Nb  0.695  0.305  0.000
Pd  0.078  0.078  0.713
Nb  0.761  0.761  0.030
S  0.000  0.000  0.000
S  0.311  0.311  0.625
Nb  0.524  0.524  0.668
Pd  0.922  0.922  0.287
S  0.676  0.676  0.809
Nb  0.084  0.644  0.715
S  0.689  0.689  0.375
Nb  0.239  0.239  0.970
S  0.000  0.000  0.500
Nb  0.916  0.356  0.285
Nb  0.305  0.695  0.000
Nb  0.644  0.084  0.715
S  0.324  0.324  0.191
Nb  0.476  0.476  0.332

---

## Nb6PdS8 (PBE)

Data for a geometry-optimized Nb6PdS8 structure.

Calculated values
Uncorrected formation energy = -0.83 eV per atom
E = -111.113 eV per formula unit

Lattice parameters (Å, degrees): 6.719 6.719 6.719 92.90 92.90 92.90
Atoms (fractional coordinates):
Nb  0.201  0.401  0.542
S  0.789  0.789  0.789
S  0.211  0.211  0.211
Nb  0.401  0.542  0.201
Pd  0.000  0.000  0.000
S  0.605  0.860  0.272
Nb  0.799  0.599  0.458
Nb  0.542  0.201  0.401
S  0.140  0.728  0.395
S  0.272  0.605  0.860
S  0.728  0.395  0.140
Nb  0.599  0.458  0.799
S  0.860  0.272  0.605
S  0.395  0.140  0.728
Nb  0.458  0.799  0.599

---

## NbPdS2 (PBE)

Data for a geometry-optimized NbPdS2 structure.

Calculated values
Uncorrected formation energy = -0.67 eV per atom
E = -26.178 eV per formula unit

Lattice parameters (Å, degrees): 3.429 3.429 7.032 75.89 75.89 60.00
Atoms (fractional coordinates):
Nb  0.507  0.507  0.479
S  0.095  0.095  0.715
S  0.247  0.247  0.259
Pd  0.651  0.651  0.047

---

Calculated volume (Å³/cell), listed in the same order as above: 159.92 167.86 91.86 143.19 72.24 90.62 360.36 61.11 157.92 334.74 302.09 68.71